{"formula": "NaBiAs3", "functional": "PBE", "state": "relaxed", "magmom_total_mub_per_cell": 0.0, "mass_density_g_cm3": 4.5, "e_form_ev_per_atom": 0.709, "e_tot_ev_per_atom": -3.121, "cell": [[5.537, 0.000, 0.000], [0.000, 5.537, 0.000], [0.000, 0.000, 5.537]], "species": ["As", "As", "As", "Bi", "Na"], "fractional_positions": [[0.500, 0.000, 0.000], [0.000, 0.500, 0.000], [0.000, 0.000, 0.500], [0.000, 0.000, 0.000], [0.500, 0.500, 0.500]]}

---

{"formula": "Rb5Hg6Pd", "functional": "PBE", "state": "relaxed", "magmom_total_mub_per_cell": 0.0, "mass_density_g_cm3": 5.7, "e_form_ev_per_atom": -0.183, "e_tot_ev_per_atom": -1.169, "cell": [[6.418, -0.108, -1.553], [-2.914, 7.774, -3.343], [0.152, 0.146, 10.041]], "species": ["Rb", "Rb", "Rb", "Rb", "Rb", "Pd", "Hg", "Hg", "Hg", "Hg", "Hg", "Hg"], "fractional_positions": [[0.000, 0.500, 0.000], [0.359, 0.859, 0.717], [0.322, 0.322, 0.643], [0.678, 0.678, 0.357], [0.641, 0.141, 0.283], [0.000, 0.000, 0.000], [0.820, 0.678, 0.732], [0.912, 0.054, 0.732], [0.088, 0.946, 0.268], [0.380, 0.264, 0.000], [0.620, 0.736, 0.000], [0.180, 0.322, 0.268]]}

---

{"formula": "SrLiP2", "functional": "PBE", "state": "relaxed", "magmom_total_mub_per_cell": 0.0, "mass_density_g_cm3": 2.9, "e_form_ev_per_atom": -0.607, "e_tot_ev_per_atom": -4.211, "cell": [[4.105, 0.000, 0.000], [0.000, 4.220, -0.026], [0.000, 2.155, 5.242]], "species": ["Li", "Sr", "P", "P"], "fractional_positions": [[0.500, 0.734, 0.907], [0.000, 0.484, 0.405], [0.500, 0.084, 0.206], [0.000, 0.197, 0.982]]}

---

{"formula": "Tm6GaCu2", "functional": "PBE", "state": "relaxed", "magmom_total_mub_per_cell": 0.0, "mass_density_g_cm3": 9.2, "e_form_ev_per_atom": -0.269, "e_tot_ev_per_atom": -4.497, "cell": [[-0.379, -6.141, -5.561], [7.364, 3.815, -0.023], [-1.042, -3.084, 7.628]], "species": ["Cu", "Cu", "Cu", "Cu", "Tm", "Tm", "Tm", "Tm", "Tm", "Tm", "Tm", "Tm", "Tm", "Tm", "Tm", "Tm", "Ga", "Ga"], "fractional_positions": [[0.655, 0.000, 0.655], [0.500, 0.621, 0.121], [0.345, 0.000, 0.345], [0.500, 0.379, 0.879], [0.808, 0.759, 0.567], [0.302, 0.627, 0.325], [0.457, 0.276, 0.181], [0.192, 0.759, 0.951], [0.543, 0.724, 0.819], [0.698, 0.373, 0.675], [0.302, 0.977, 0.675], [0.095, 0.276, 0.819], [0.905, 0.724, 0.181], [0.192, 0.241, 0.433], [0.808, 0.241, 0.049], [0.698, 0.023, 0.325], [0.000, 0.000, 0.000], [0.000, 0.500, 0.500]]}

---

{"formula": "KTcAg2", "functional": "PBE", "state": "relaxed", "magmom_total_mub_per_cell": 3.0, "mass_density_g_cm3": 6.8, "e_form_ev_per_atom": 1.085, "e_tot_ev_per_atom": -3.206, "cell": [[4.946, 0.000, 0.000], [2.473, 4.284, 0.000], [2.473, 1.428, 4.039]], "species": ["Ag", "Ag", "K", "Tc"], "fractional_positions": [[0.000, 0.000, 0.000], [0.250, 0.250, 0.250], [0.500, 0.500, 0.500], [0.750, 0.750, 0.750]]}

---

{"formula": "VB3I", "functional": "PBE", "state": "relaxed", "magmom_total_mub_per_cell": 2.8, "mass_density_g_cm3": 4.2, "e_tot_ev_per_atom": -3.366, "cell": [[-1.156, 1.576, 3.914], [-3.315, -2.850, 0.169], [2.610, -2.922, 1.947]], "species": ["V", "I", "B", "B", "B"], "fractional_positions": [[0.500, 0.500, 0.500], [0.000, 0.000, 0.000], [0.000, 0.000, 0.500], [0.500, 0.000, 0.000], [0.000, 0.500, 0.000]]}

---

{"formula": "TbErMgPd", "functional": "PBE", "state": "relaxed", "magmom_total_mub_per_cell": 0.0, "mass_density_g_cm3": 8.0, "e_form_ev_per_atom": -0.404, "e_tot_ev_per_atom": -4.400, "cell": [[-1.360, 3.994, -2.900], [-3.846, -0.459, -3.348], [-4.443, 2.393, 0.861]], "species": ["Mg", "Tb", "Er", "Pd"], "fractional_positions": [[0.500, 0.500, 0.500], [0.250, 0.250, 0.250], [0.750, 0.750, 0.750], [0.000, 0.000, 0.000]]}

---

{"formula": "ZrTi6Nb2", "functional": "PBE", "state": "relaxed", "magmom_total_mub_per_cell": 0.0, "mass_density_g_cm3": 5.8, "e_form_ev_per_atom": 0.101, "e_tot_ev_per_atom": -8.350, "cell": [[5.011, 0.080, 0.500], [0.656, 7.681, 3.063], [0.268, -0.578, 8.271]], "species": ["Ti", "Ti", "Ti", "Ti", "Ti", "Ti", "Ti", "Ti", "Ti", "Ti", "Ti", "Ti", "Nb", "Nb", "Nb", "Nb", "Zr", "Zr"], "fractional_positions": [[0.972, 0.434, 0.675], [0.472, 0.675, 0.434], [0.693, 0.254, 0.987], [0.028, 0.566, 0.325], [0.807, 0.013, 0.746], [0.855, 0.648, 0.894], [0.645, 0.106, 0.352], [0.145, 0.352, 0.106], [0.528, 0.325, 0.566], [0.355, 0.894, 0.648], [0.307, 0.746, 0.013], [0.193, 0.987, 0.254], [0.590, 0.460, 0.209], [0.090, 0.209, 0.460], [0.910, 0.791, 0.540], [0.410, 0.540, 0.791], [0.750, 0.879, 0.121], [0.250, 0.121, 0.879]]}

---

{"formula": "Dy4TmPd15", "functional": "PBE", "state": "relaxed", "magmom_total_mub_per_cell": 0.0, "mass_density_g_cm3": 11.5, "e_form_ev_per_atom": -0.888, "e_tot_ev_per_atom": -5.927, "cell": [[4.108, 0.000, 0.000], [0.000, 4.108, 0.000], [0.000, 0.000, 20.675]], "species": ["Tm", "Pd", "Pd", "Pd", "Pd", "Pd", "Pd", "Pd", "Pd", "Pd", "Pd", "Pd", "Pd", "Pd", "Pd", "Pd", "Dy", "Dy", "Dy", "Dy"], "fractional_positions": [[0.000, 0.000, 0.000], [0.500, 0.000, 0.299], [0.500, 0.500, 0.000], [0.500, 0.500, 0.199], [0.500, 0.500, 0.801], [0.000, 0.500, 0.099], [0.500, 0.000, 0.099], [0.000, 0.500, 0.500], [0.500, 0.000, 0.701], [0.500, 0.000, 0.901], [0.500, 0.000, 0.500], [0.500, 0.500, 0.400], [0.000, 0.500, 0.299], [0.000, 0.500, 0.701], [0.500, 0.500, 0.600], [0.000, 0.500, 0.901], [0.000, 0.000, 0.199], [0.000, 0.000, 0.801], [0.000, 0.000, 0.400], [0.000, 0.000, 0.600]]}

---

{"formula": "FeSbAs", "functional": "PBE", "state": "relaxed", "magmom_total_mub_per_cell": 1.3, "mass_density_g_cm3": 7.3, "e_tot_ev_per_atom": -5.663, "cell": [[-5.161, 2.866, -2.893], [-3.417, 2.012, -5.244], [-1.884, -2.332, -0.554]], "species": ["Sb", "Fe", "As"], "fractional_positions": [[0.297, 0.297, 0.703], [0.653, 0.653, 0.347], [0.050, 0.050, 0.950]]}

---

{"formula": "BaSc2Cl", "functional": "PBE", "state": "relaxed", "magmom_total_mub_per_cell": 0.0, "mass_density_g_cm3": 3.4, "e_tot_ev_per_atom": -4.409, "cell": [[7.686, -0.015, 0.004], [-5.146, 5.709, 0.004], [0.882, 1.976, 2.962]], "species": ["Sc", "Sc", "Cl", "Ba"], "fractional_positions": [[0.500, 0.500, 0.000], [0.000, 0.000, 0.000], [0.000, 0.500, 0.500], [0.500, 0.000, 0.500]]}

---

{"formula": "NaGaH8N2F6", "functional": "PBE", "state": "relaxed", "magmom_total_mub_per_cell": 0.0, "mass_density_g_cm3": 2.5, "e_tot_ev_per_atom": -4.819, "cell": [[6.093, 0.000, 0.000], [3.046, 5.276, 0.000], [3.046, 1.759, 4.975]], "species": ["F", "F", "F", "F", "F", "F", "Ga", "H", "H", "H", "H", "H", "H", "H", "H", "Na", "N", "N"], "fractional_positions": [[0.776, 0.776, 0.224], [0.776, 0.224, 0.776], [0.224, 0.224, 0.776], [0.776, 0.224, 0.224], [0.224, 0.776, 0.224], [0.224, 0.776, 0.776], [0.000, 0.000, 0.000], [0.181, 0.181, 0.181], [0.819, 0.819, 0.819], [0.181, 0.181, 0.457], [0.819, 0.819, 0.543], [0.181, 0.457, 0.181], [0.543, 0.819, 0.819], [0.819, 0.543, 0.819], [0.457, 0.181, 0.181], [0.500, 0.500, 0.500], [0.750, 0.750, 0.750], [0.250, 0.250, 0.250]]}